[1]
# Ni2BiRh, optimized geometry, DFT PBE-GGA
# SG ... I-42d (122)
# D(E_F) ... 1.2696 states/eV/atom
# Energy of formation ... 0.383 eV per atom
# Volume ... 16.85 A^3/atom
# Final energy ... -5.316 eV per atom
# Theoretical density ... 10.6 g/cm3
data_Ni2BiRh
_chemical_formula_sum 'Ni8 Bi4 Rh4'
_cell_length_a 3.8597
_cell_length_b 3.8597
_cell_length_c 18.0927
_cell_angle_alpha 90.00
_cell_angle_beta 90.00
_cell_angle_gamma 90.00
_space_group_name_H-M_alt 'P 1'
_space_group_IT_number 1
_space_group_name_Hall 'P 1'
loop_
_atom_site_label
_atom_site_type_symbol
_atom_site_fract_x
_atom_site_fract_y
_atom_site_fract_z
Ni1 Ni 0.2040 0.2500 0.1250
Ni2 Ni 0.2500 0.7040 0.3750
Ni3 Ni 0.2500 0.7960 0.8750
Ni4 Ni 0.2960 0.2500 0.6250
Ni5 Ni 0.7040 0.7500 0.6250
Ni6 Ni 0.7500 0.2040 0.8750
Ni7 Ni 0.7500 0.2960 0.3750
Ni8 Ni 0.7960 0.7500 0.1250
Bi1 Bi 0.0000 0.0000 0.5000
Bi2 Bi 0.0000 0.5000 0.7500
Bi3 Bi 0.5000 0.0000 0.2500
Bi4 Bi 0.5000 0.5000 0.0000
Rh1 Rh 0.0000 0.0000 0.0000
Rh2 Rh 0.0000 0.5000 0.2500
Rh3 Rh 0.5000 0.0000 0.7500
Rh4 Rh 0.5000 0.5000 0.5000



[2]
# Ni2Bi8Rh, optimized geometry, DFT PBE-GGA
# SG ... C2/m (12)
# D(E_F) ... 0.5532 states/eV/atom
# Energy of formation ... 0.089 eV per atom
# Volume ... 28.23 A^3/atom
# Final energy ... -4.453 eV per atom
# Theoretical density ... 10.1 g/cm3
data_Ni2Bi8Rh
_chemical_formula_sum 'Ni2 Bi8 Rh1'
_cell_length_a 8.3039
_cell_length_b 8.3039
_cell_length_c 5.1766
_cell_angle_alpha 91.06
_cell_angle_beta 91.06
_cell_angle_gamma 60.48
_space_group_name_H-M_alt 'P 1'
_space_group_IT_number 1
_space_group_name_Hall 'P 1'
loop_
_atom_site_label
_atom_site_type_symbol
_atom_site_fract_x
_atom_site_fract_y
_atom_site_fract_z
Ni1 Ni 0.1752 0.1752 0.2353
Ni2 Ni 0.8248 0.8248 0.7647
Bi1 Bi 0.1659 0.1659 0.7339
Bi2 Bi 0.1866 0.6592 0.7342
Bi3 Bi 0.3408 0.8134 0.2658
Bi4 Bi 0.3537 0.3537 0.1921
Bi5 Bi 0.6463 0.6463 0.8079
Bi6 Bi 0.6592 0.1866 0.7342
Bi7 Bi 0.8134 0.3408 0.2658
Bi8 Bi 0.8341 0.8341 0.2661
Rh1 Rh 0.0000 0.0000 0.0000



[3]
# NiBi3Rh, optimized geometry, DFT PBE-GGA
# SG ... Pm-3m (221)
# D(E_F) ... 0.3716 states/eV/atom
# Energy of formation ... 0.704 eV per atom
# Energy relative to the lowest polymorph listed for this composition ... 650 meV per atom
# Volume ... 28.99 A^3/atom
# Final energy ... -4.251 eV per atom
# Theoretical density ... 9.0 g/cm3
data_NiBi3Rh
_chemical_formula_sum 'Ni1 Bi3 Rh1'
_cell_length_a 5.2531
_cell_length_b 5.2531
_cell_length_c 5.2531
_cell_angle_alpha 90.00
_cell_angle_beta 90.00
_cell_angle_gamma 90.00
_space_group_name_H-M_alt 'P 1'
_space_group_IT_number 1
_space_group_name_Hall 'P 1'
loop_
_atom_site_label
_atom_site_type_symbol
_atom_site_fract_x
_atom_site_fract_y
_atom_site_fract_z
Ni1 Ni 0.0000 0.0000 0.0000
Bi1 Bi 0.0000 0.5000 0.5000
Bi2 Bi 0.5000 0.0000 0.5000
Bi3 Bi 0.5000 0.5000 0.0000
Rh1 Rh 0.5000 0.5000 0.5000



[4]
# Ni2BiRh2, optimized geometry, DFT PBE-GGA
# SG ... I4/mmm (139)
# D(E_F) ... 0.9921 states/eV/atom
# Energy of formation ... 0.289 eV per atom
# Energy relative to the lowest polymorph listed for this composition ... 55 meV per atom
# Volume ... 16.31 A^3/atom
# Final energy ... -5.741 eV per atom
# Theoretical density ... 10.8 g/cm3
data_Ni2BiRh2
_chemical_formula_sum 'Ni4 Bi2 Rh4'
_cell_length_a 3.7541
_cell_length_b 3.7541
_cell_length_c 11.5703
_cell_angle_alpha 90.00
_cell_angle_beta 90.00
_cell_angle_gamma 90.00
_space_group_name_H-M_alt 'P 1'
_space_group_IT_number 1
_space_group_name_Hall 'P 1'
loop_
_atom_site_label
_atom_site_type_symbol
_atom_site_fract_x
_atom_site_fract_y
_atom_site_fract_z
Ni1 Ni 0.0000 0.0000 0.1030
Ni2 Ni 0.0000 0.0000 0.8970
Ni3 Ni 0.5000 0.5000 0.3970
Ni4 Ni 0.5000 0.5000 0.6030
Bi1 Bi 0.0000 0.0000 0.5000
Bi2 Bi 0.5000 0.5000 0.0000
Rh1 Rh 0.0000 0.5000 0.2500
Rh2 Rh 0.0000 0.5000 0.7500
Rh3 Rh 0.5000 0.0000 0.2500
Rh4 Rh 0.5000 0.0000 0.7500



[5]
# Ni2BiRhS, optimized geometry, DFT PBE-GGA
# SG ... P4/mmm (123)
# D(E_F) ... 0.9860 states/eV/atom
# Formation energy (no corrections) ... 1.383 eV/atom
# Volume ... 22.76 A^3/atom
# Final energy ... -4.002 eV per atom
# Theoretical density ... 6.7 g/cm3
data_Ni2BiRhS
_chemical_formula_sum 'Ni2 Bi1 Rh1 S1'
_cell_length_a 4.7461
_cell_length_b 4.7461
_cell_length_c 5.0525
_cell_angle_alpha 90.00
_cell_angle_beta 90.00
_cell_angle_gamma 90.00
_space_group_name_H-M_alt 'P 1'
_space_group_IT_number 1
_space_group_name_Hall 'P 1'
loop_
_atom_site_label
_atom_site_type_symbol
_atom_site_fract_x
_atom_site_fract_y
_atom_site_fract_z
Ni1 Ni 0.0000 0.5000 0.0000
Ni2 Ni 0.5000 0.0000 0.0000
Bi1 Bi 0.0000 0.0000 0.0000
Rh1 Rh 0.0000 0.0000 0.5000
S1 S 0.5000 0.5000 0.5000



[6]
# NiBiRh2S2, optimized geometry, DFT PBE-GGA
# SG ... R-3m (166)
# D(E_F) ... 0.6243 states/eV/atom
# Formation energy (no corrections) ... -0.123 eV/atom
# Volume ... 18.90 A^3/atom
# Final energy ... -5.560 eV per atom
# Theoretical density ... 7.9 g/cm3
data_NiBiRh2S2
_chemical_formula_sum 'Ni1 Bi1 Rh2 S2'
_cell_length_a 11.5607
_cell_length_b 11.5607
_cell_length_c 11.5607
_cell_angle_alpha 16.86
_cell_angle_beta 16.86
_cell_angle_gamma 16.86
_space_group_name_H-M_alt 'P 1'
_space_group_IT_number 1
_space_group_name_Hall 'P 1'
loop_
_atom_site_label
_atom_site_type_symbol
_atom_site_fract_x
_atom_site_fract_y
_atom_site_fract_z
Ni1 Ni 0.0000 0.0000 0.0000
Bi1 Bi 0.5000 0.5000 0.5000
Rh1 Rh 0.2383 0.2383 0.2383
Rh2 Rh 0.7617 0.7617 0.7617
S1 S 0.0615 0.0615 0.0615
S2 S 0.9385 0.9385 0.9385



[7]
# NiBiSb2Rh, optimized geometry, DFT PBE-GGA
# SG ... P4/mmm (123)
# D(E_F) ... 0.3692 states/eV/atom
# Formation energy (no corrections) ... 0.673 eV/atom
# Volume ... 27.35 A^3/atom
# Final energy ... -4.379 eV per atom
# Theoretical density ... 7.5 g/cm3
data_NiBiSb2Rh
_chemical_formula_sum 'Ni1 Bi1 Sb2 Rh1'
_cell_length_a 5.0161
_cell_length_b 5.0161
_cell_length_c 5.4343
_cell_angle_alpha 90.00
_cell_angle_beta 90.00
_cell_angle_gamma 90.00
_space_group_name_H-M_alt 'P 1'
_space_group_IT_number 1
_space_group_name_Hall 'P 1'
loop_
_atom_site_label
_atom_site_type_symbol
_atom_site_fract_x
_atom_site_fract_y
_atom_site_fract_z
Ni1 Ni 0.0000 0.0000 0.0000
Bi1 Bi 0.5000 0.5000 0.0000
Sb1 Sb 0.0000 0.5000 0.5000
Sb2 Sb 0.5000 0.0000 0.5000
Rh1 Rh 0.5000 0.5000 0.5000



[8]
# ScNiBiRh, optimized geometry, DFT PBE-GGA
# SG ... F-43m (216)
# D(E_F) ... 0.8460 states/eV/atom
# Energy of formation ... -0.414 eV per atom
# Volume ... 17.48 A^3/atom
# Final energy ... -6.250 eV per atom
# Theoretical density ... 9.9 g/cm3
data_ScNiBiRh
_chemical_formula_sum 'Sc4 Ni4 Bi4 Rh4'
_cell_length_a 6.5394
_cell_length_b 6.5394
_cell_length_c 6.5394
_cell_angle_alpha 90.00
_cell_angle_beta 90.00
_cell_angle_gamma 90.00
_space_group_name_H-M_alt 'P 1'
_space_group_IT_number 1
_space_group_name_Hall 'P 1'
loop_
_atom_site_label
_atom_site_type_symbol
_atom_site_fract_x
_atom_site_fract_y
_atom_site_fract_z
Sc1 Sc 0.0000 0.0000 0.0000
Sc2 Sc 0.0000 0.5000 0.5000
Sc3 Sc 0.5000 0.0000 0.5000
Sc4 Sc 0.5000 0.5000 0.0000
Ni1 Ni 0.2500 0.2500 0.2500
Ni2 Ni 0.2500 0.7500 0.7500
Ni3 Ni 0.7500 0.2500 0.7500
Ni4 Ni 0.7500 0.7500 0.2500
Bi1 Bi 0.0000 0.0000 0.5000
Bi2 Bi 0.0000 0.5000 0.0000
Bi3 Bi 0.5000 0.0000 0.0000
Bi4 Bi 0.5000 0.5000 0.5000
Rh1 Rh 0.2500 0.2500 0.7500
Rh2 Rh 0.2500 0.7500 0.2500
Rh3 Rh 0.7500 0.2500 0.2500
Rh4 Rh 0.7500 0.7500 0.7500



[9]
# SmNiBiRh, optimized geometry, DFT PBE-GGA
# SG ... F-43m (216)
# D(E_F) ... 0.8854 states/eV/atom
# Energy of formation ... -0.358 eV per atom
# Volume ... 19.79 A^3/atom
# Final energy ... -5.792 eV per atom
# Theoretical density ... 10.9 g/cm3
data_SmNiBiRh
_chemical_formula_sum 'Sm4 Ni4 Bi4 Rh4'
_cell_length_a 6.8161
_cell_length_b 6.8161
_cell_length_c 6.8161
_cell_angle_alpha 90.00
_cell_angle_beta 90.00
_cell_angle_gamma 90.00
_space_group_name_H-M_alt 'P 1'
_space_group_IT_number 1
_space_group_name_Hall 'P 1'
loop_
_atom_site_label
_atom_site_type_symbol
_atom_site_fract_x
_atom_site_fract_y
_atom_site_fract_z
Sm1 Sm 0.0000 0.0000 0.0000
Sm2 Sm 0.0000 0.5000 0.5000
Sm3 Sm 0.5000 0.0000 0.5000
Sm4 Sm 0.5000 0.5000 0.0000
Ni1 Ni 0.2500 0.2500 0.2500
Ni2 Ni 0.2500 0.7500 0.7500
Ni3 Ni 0.7500 0.2500 0.7500
Ni4 Ni 0.7500 0.7500 0.2500
Bi1 Bi 0.0000 0.0000 0.5000
Bi2 Bi 0.0000 0.5000 0.0000
Bi3 Bi 0.5000 0.0000 0.0000
Bi4 Bi 0.5000 0.5000 0.5000
Rh1 Rh 0.2500 0.2500 0.7500
Rh2 Rh 0.2500 0.7500 0.2500
Rh3 Rh 0.7500 0.2500 0.2500
Rh4 Rh 0.7500 0.7500 0.7500



[10]
# Tc2NiBiRh, optimized geometry, DFT PBE-GGA
# SG ... P4/mmm (123)
# D(E_F) ... 1.4503 states/eV/atom
# Energy of formation ... 1.333 eV per atom
# Volume ... 20.49 A^3/atom
# Final energy ... -6.216 eV per atom
# Theoretical density ... 9.2 g/cm3
data_Tc2NiBiRh
_chemical_formula_sum 'Tc2 Ni1 Bi1 Rh1'
_cell_length_a 4.6925
_cell_length_b 4.6925
_cell_length_c 4.6524
_cell_angle_alpha 90.00
_cell_angle_beta 90.00
_cell_angle_gamma 90.00
_space_group_name_H-M_alt 'P 1'
_space_group_IT_number 1
_space_group_name_Hall 'P 1'
loop_
_atom_site_label
_atom_site_type_symbol
_atom_site_fract_x
_atom_site_fract_y
_atom_site_fract_z
Tc1 Tc 0.0000 0.5000 0.0000
Tc2 Tc 0.5000 0.0000 0.0000
Ni1 Ni 0.0000 0.0000 0.5000
Bi1 Bi 0.5000 0.5000 0.5000
Rh1 Rh 0.0000 0.0000 0.0000